## PrNd2Y6 (PBE)

Data for crystalline PrNd2Y6 at its relaxed geometry.

Values from the calculation:
calculated formation energy	0.020	eV/atom
polymorph energy (0 for the lowest one)	0.0000	eV/atom

Cell lengths 5.1041, 8.0777, 8.0861 Å; angles 84.28, 71.60, 71.58 degrees
Closest atoms and distances in Å follow each position.
Fractional positions:
Nd1 0.6670 0.5000 0.1661  2 Nd 3.61, 2 Pr 3.62, 8 Y 3.62-3.63
Nd2 0.3330 0.5000 0.8339  2 Nd 3.61, 2 Pr 3.62, 8 Y 3.62-3.63
Y1 0.6657 0.8350 0.8336  8 Y 3.59-3.61, 3 Nd 3.62, 1 Pr 3.63
Y2 0.3343 0.1650 0.1664  8 Y 3.59-3.61, 3 Nd 3.62, 1 Pr 3.63
Y3 0.6676 0.1648 0.5000  8 Y 3.59-3.61, 2 Pr 3.62, 2 Nd 3.63
Y4 0.9993 0.8350 0.1664  8 Y 3.59-3.61, 3 Nd 3.62, 1 Pr 3.63
Y5 0.0007 0.1650 0.8336  8 Y 3.59-3.61, 3 Nd 3.62, 1 Pr 3.63
Y6 0.3324 0.8352 0.5000  8 Y 3.59-3.61, 2 Pr 3.62, 2 Nd 3.63
Pr1 0.0000 0.5000 0.5000  4 Nd 3.62, 8 Y 3.62-3.63

---

## CaLaThN3 (PBE)

Data for crystalline CaLaThN3 at its relaxed geometry.

Values from the calculation:
raw formation energy	-1.295	eV per atom

Cell lengths 3.6549, 6.2398, 9.2485 Å; angles 101.91, 90.00, 90.00 degrees
Closest atoms and distances in Å follow each position.
Fractional positions:
N1 0.2500 0.7297 0.4939  3 Ca 2.43-2.59, 3 La 2.49-2.62
N2 0.7500 0.0357 0.1431  3 Th 2.36-2.52, 1 Ca 2.50
N3 0.7500 0.2703 0.5061  3 Ca 2.43-2.59, 3 La 2.49-2.62
N4 0.2500 0.4534 0.8503  3 Th 2.38-2.57, 1 Ca 2.51
N5 0.2500 0.9643 0.8569  3 Th 2.36-2.52, 1 Ca 2.50
N6 0.7500 0.5466 0.1497  3 Th 2.38-2.57, 1 Ca 2.51
Th1 0.2500 0.7660 0.0483  6 N 2.36-2.57
Th2 0.7500 0.2340 0.9517  6 N 2.36-2.57
Ca1 0.2500 0.1337 0.6346  5 N 2.43-2.59
Ca2 0.7500 0.8663 0.3654  5 N 2.43-2.59
La1 0.7500 0.6363 0.6749  3 N 2.49-2.62
La2 0.2500 0.3637 0.3251  3 N 2.49-2.62

---

## HoAl2ZnAu2 (PBE)

Data for crystalline HoAl2ZnAu2 at its relaxed geometry.

Values from the calculation:
calculated formation energy	-0.535	eV/atom

Cell lengths 4.4169, 4.4169, 6.6789 Å; angles 90.00, 90.00, 120.00 degrees
Closest atoms and distances in Å follow each position.
Fractional positions:
Au1 0.6667 0.3333 0.2715  4 Al 2.56-2.84
Au2 0.3333 0.6667 0.7285  4 Al 2.56-2.84
Ho1 0.0000 0.0000 0.0000  6 Au 3.13, 6 Al 3.26, 2 Zn 3.34
Al1 0.3333 0.6667 0.3036  4 Au 2.56-2.84
Al2 0.6667 0.3333 0.6964  4 Au 2.56-2.84
Zn1 0.0000 0.0000 0.5000  6 Al 2.87, 6 Au 2.97

---

## Nd2SmCu6 (PBE)

Data for crystalline Nd2SmCu6 at its relaxed geometry.

Values from the calculation:
calculated formation energy	-0.223	eV/atom

Cell lengths 3.7352, 7.4126, 7.4126 Å; angles 120.00, 90.00, 90.00 degrees
Closest atoms and distances in Å follow each position.
Fractional positions:
Cu1 0.5000 0.6676 0.6676  3 Cu 2.46-2.48
Cu2 0.5000 0.3324 0.0000  3 Cu 2.46-2.48
Cu3 0.5000 0.0000 0.6676  3 Cu 2.46-2.48
Cu4 0.5000 0.0000 0.3324  3 Cu 2.46-2.48
Cu5 0.5000 0.6676 0.0000  3 Cu 2.46-2.48
Cu6 0.5000 0.3324 0.3324  3 Cu 2.46-2.48
Sm1 0.0000 0.0000 0.0000  12 Cu 3.09
Nd1 0.0000 0.3333 0.6667  12 Cu 3.10
Nd2 0.0000 0.6667 0.3333  12 Cu 3.10

---

## TbTm3Te3 (PBE)

Data for crystalline TbTm3Te3 at its relaxed geometry.

Values from the calculation:
raw formation energy	-0.907	eV per atom

Cell lengths 7.0747, 7.0747, 11.0575 Å; angles 71.34, 71.34, 60.00 degrees
Closest atoms and distances in Å follow each position.
Fractional positions:
Te1 0.6231 0.9384 0.1802  3 Tm 3.03-3.07, 2 Tb 3.04
Te2 0.3769 0.0616 0.8198  3 Tm 3.03-3.07, 2 Tb 3.04
Te3 0.9384 0.2582 0.1802  3 Tm 3.03-3.07, 2 Tb 3.04
Te4 0.2582 0.6231 0.1802  3 Tm 3.03-3.07, 2 Tb 3.04
Te5 0.7418 0.3769 0.8198  3 Tm 3.03-3.07, 2 Tb 3.04
Te6 0.0616 0.7418 0.8198  3 Tm 3.03-3.07, 2 Tb 3.04
Tb1 0.3330 0.3330 0.0010  6 Te 3.04
Tb2 0.6670 0.6670 0.9990  6 Te 3.04
Tm1 0.8801 0.5312 0.3679  3 Te 3.03-3.07
Tm2 0.4688 0.7793 0.6321  3 Te 3.03-3.07
Tm3 0.1199 0.4688 0.6321  3 Te 3.03-3.07
Tm4 0.7793 0.1199 0.6321  3 Te 3.03-3.07
Tm5 0.5312 0.2207 0.3679  3 Te 3.03-3.07
Tm6 0.2207 0.8801 0.3679  3 Te 3.03-3.07

---

## CrSb2TeIr (PBE)

Data for crystalline CrSb2TeIr at its relaxed geometry.

Values from the calculation:
raw formation energy	0.957	eV per atom
polymorph energy (0 for the lowest one)	0.0000	eV/atom

Cell lengths 4.9001, 4.9001, 4.8823 Å; angles 90.00, 90.00, 90.00 degrees
Closest atoms and distances in Å follow each position.
Fractional positions:
Ir1 0.5000 0.5000 0.5000  8 Sb 3.46, 4 Te 3.46
Sb1 0.0000 0.5000 0.0000  2 Cr 2.45
Sb2 0.5000 0.0000 0.0000  2 Cr 2.45
Cr1 0.0000 0.0000 0.0000  2 Te 2.44, 4 Sb 2.45
Te1 0.0000 0.0000 0.5000  2 Cr 2.44

---

## ZrAgSb2 (PBE)

Data for crystalline ZrAgSb2 at its relaxed geometry.

Values from the calculation:
raw formation energy	-0.177	eV per atom

Cell lengths 5.7227, 5.7227, 5.1840 Å; angles 83.43, 83.43, 33.00 degrees
Closest atoms and distances in Å follow each position.
Fractional positions:
Ag1 0.2426 0.2426 0.2142  5 Sb 2.88-3.16
Zr1 0.4982 0.4982 0.5398  7 Sb 2.98-3.14, 2 Zr 3.25
Sb1 0.9999 0.9999 0.0567  1 Ag 2.88, 4 Zr 2.98-3.14
Sb2 0.7593 0.7593 0.6893  4 Ag 2.97-3.16, 3 Zr 3.06-3.10, 2 Sb 3.25

---

## Ba2Li4BiSb3 (PBE)

Data for crystalline Ba2Li4BiSb3 at its relaxed geometry.

Values from the calculation:
raw formation energy	-0.768	eV per atom

Cell lengths 4.7877, 4.7877, 11.9310 Å; angles 90.00, 90.00, 90.00 degrees
Closest atoms and distances in Å follow each position.
Fractional positions:
Sb1 0.0000 0.0000 0.5000  4 Li 2.94
Sb2 0.0000 0.5000 0.1304  5 Li 2.71-2.86
Sb3 0.5000 0.0000 0.8696  5 Li 2.71-2.86
Ba1 0.5000 0.0000 0.2357  6 Sb 3.61-3.96, 8 Li 3.68-3.69, 2 Bi 3.96
Ba2 0.0000 0.5000 0.7643  6 Sb 3.61-3.96, 8 Li 3.68-3.69, 2 Bi 3.96
Li1 0.5000 0.5000 0.0000  4 Sb 2.86
Li2 0.0000 0.0000 0.0000  4 Sb 2.86
Li3 0.0000 0.5000 0.3576  3 Sb 2.71-2.94, 2 Bi 2.94
Li4 0.5000 0.0000 0.6424  3 Sb 2.71-2.94, 2 Bi 2.94
Bi1 0.5000 0.5000 0.5000  4 Li 2.94

---

## Er2Al2Hg (PBE)

Data for crystalline Er2Al2Hg at its relaxed geometry.

Values from the calculation:
calculated formation energy	-0.423	eV/atom

Cell lengths 4.5344, 5.8788, 9.6833 Å; angles 88.84, 76.46, 67.32 degrees
Closest atoms and distances in Å follow each position.
Fractional positions:
Er1 0.6839 0.3074 0.3249  6 Al 3.08-3.25, 4 Hg 3.15-3.42
Er2 0.9148 0.2639 0.9066  6 Al 3.06-3.25, 2 Hg 3.30
Er3 0.0852 0.7361 0.0934  6 Al 3.06-3.25, 2 Hg 3.30
Er4 0.3161 0.6926 0.6751  6 Al 3.08-3.25, 4 Hg 3.15-3.42
Al1 0.9296 0.7054 0.4353  1 Al 2.62, 3 Hg 2.67-2.93
Al2 0.6391 0.8342 0.8875  1 Al 2.67, 1 Hg 2.70
Al3 0.0704 0.2946 0.5647  1 Al 2.62, 3 Hg 2.67-2.93
Al4 0.3609 0.1658 0.1125  1 Al 2.67, 1 Hg 2.70
Hg1 0.6148 0.1096 0.6608  4 Al 2.67-2.93
Hg2 0.3852 0.8904 0.3392  4 Al 2.67-2.93

---

## PaHgAs2O8 (PBE)

Data for crystalline PaHgAs2O8 at its relaxed geometry.

Values from the calculation:
raw formation energy	-1.665	eV per atom

Cell lengths 5.7407, 5.7407, 7.6410 Å; angles 90.00, 90.00, 120.00 degrees
Closest atoms and distances in Å follow each position.
Fractional positions:
O1 0.1742 0.3484 0.8310  1 As 1.74
O2 0.6667 0.3333 0.4824  1 As 1.66
O3 0.8258 0.1742 0.1690  1 As 1.74
O4 0.3484 0.1742 0.1690  1 As 1.74
O5 0.1742 0.8258 0.8310  1 As 1.74
O6 0.8258 0.6516 0.1690  1 As 1.74
O7 0.3333 0.6667 0.5176  1 As 1.66
O8 0.6516 0.8258 0.8310  1 As 1.74
Pa1 0.0000 0.0000 0.0000  6 O 2.16
Hg1 0.0000 0.0000 0.5000  12 O 3.07-3.32
As1 0.3333 0.6667 0.7355  4 O 1.66-1.74
As2 0.6667 0.3333 0.2645  4 O 1.66-1.74

---

## GdAl2Ru (PBE)

Data for crystalline GdAl2Ru at its relaxed geometry.

Values from the calculation:
calculated formation energy	-0.366	eV/atom
polymorph energy (0 for the lowest one)	0.1664	eV/atom

Cell lengths 4.6275, 4.6275, 4.6288 Å; angles 60.01, 60.01, 60.00 degrees
Closest atoms and distances in Å follow each position.
Fractional positions:
Ru1 0.5000 0.5000 0.5000  8 Al 2.83-2.84
Al1 0.2499 0.2499 0.2503  4 Ru 2.83-2.84, 4 Gd 2.83
Al2 0.7501 0.7501 0.7497  4 Ru 2.83-2.84, 4 Gd 2.83
Gd1 0.0000 0.0000 0.0000  8 Al 2.83

---

## Hg5Bi2Pb3 (PBE)

Data for crystalline Hg5Bi2Pb3 at its relaxed geometry.

Values from the calculation:
calculated formation energy	0.038	eV/atom

Cell lengths 8.7754, 10.3987, 9.1285 Å; angles 131.76, 90.19, 101.72 degrees
Closest atoms and distances in Å follow each position.
Fractional positions:
Hg1 0.0954 0.0921 0.4016  2 Hg 3.08-3.12, 2 Pb 3.10-3.31, 2 Bi 3.19-3.34
Hg2 0.2886 0.4100 0.4516  5 Hg 3.12-3.31, 2 Pb 3.20-3.42
Hg3 0.0661 0.6700 0.7482  3 Hg 3.00-3.30, 2 Pb 3.26-3.32
Hg4 0.5283 0.1565 0.2378  4 Hg 3.18-3.31, 2 Pb 3.36-3.56
Hg5 0.4717 0.8435 0.7622  4 Hg 3.18-3.31, 2 Pb 3.36-3.56
Hg6 0.7223 0.1830 0.8849  3 Hg 3.00-3.18, 1 Pb 3.28
Hg7 0.2777 0.8170 0.1151  3 Hg 3.00-3.18, 1 Pb 3.28
Hg8 0.9046 0.9079 0.5984  2 Hg 3.08-3.12, 2 Pb 3.10-3.31, 2 Bi 3.19-3.34
Hg9 0.9339 0.3300 0.2518  3 Hg 3.00-3.30, 2 Pb 3.26-3.32
Hg10 0.7114 0.5900 0.5484  5 Hg 3.12-3.31, 2 Pb 3.20-3.42
Bi1 0.3799 0.1154 0.6432  3 Hg 3.19-3.55, 2 Bi 3.28-3.42, 4 Pb 3.32-3.49
Bi2 0.6201 0.8846 0.3568  3 Hg 3.19-3.55, 2 Bi 3.28-3.42, 4 Pb 3.32-3.49
Bi3 0.8671 0.6181 0.1007  4 Hg 3.34-3.73, 2 Bi 3.35-3.42, 5 Pb 3.36-3.67
Bi4 0.1329 0.3819 0.8993  4 Hg 3.34-3.73, 2 Bi 3.35-3.42, 5 Pb 3.36-3.67
Pb1 0.5117 0.4651 0.1593  2 Hg 3.20-3.28, 3 Bi 3.32-3.49, 2 Pb 3.45-3.55
Pb2 0.1833 0.0881 0.9418  4 Hg 3.10-3.45, 2 Bi 3.37-3.44
Pb3 0.8167 0.9119 0.0582  4 Hg 3.10-3.45, 2 Bi 3.37-3.44
Pb4 0.8193 0.3070 0.5994  6 Hg 3.26-3.64, 3 Bi 3.34-3.45
Pb5 0.4883 0.5349 0.8407  2 Hg 3.20-3.28, 3 Bi 3.32-3.49, 2 Pb 3.45-3.55
Pb6 0.1807 0.6930 0.4006  6 Hg 3.26-3.64, 3 Bi 3.34-3.45